Record 1
Density functional theory data (PBE-GGA) for crystalline Tl4AuS at its relaxed geometry.

POSCAR file:
```
Tl4AuS
1.0
3.597 -0.001 0.008
0.001 3.597 0.008
0.026 0.026 13.011
S Au Tl
1 1 4
Cartesian
1.812 1.811 6.513 S
0.000 0.000 0.000 Au
0.011 0.011 4.785 Tl
3.613 3.612 8.242 Tl
1.822 1.821 11.168 Tl
1.802 1.801 1.859 Tl
```

Values from the calculation:
The value obtained for the density of states at the Fermi level is 2.43 states/eV per cell. The uncorrected formation energy is -0.11 eV per atom.

Record 2
Density functional theory data (PBE-GGA) for crystalline LaPmGePt at its relaxed geometry.

POSCAR file:
```
LaPmGePt
1.0
-2.879 1.063 -3.618
3.576 -0.674 -3.044
-2.628 -10.049 -0.861
Pm La Pt Ge
2 2 2 2
Cartesian
-1.314 -5.024 -0.430 Pm
-0.966 -4.830 -3.761 Pm
-0.408 -8.734 -2.241 La
-1.872 -1.121 -1.950 La
-3.168 -6.078 -2.375 Pt
0.888 -3.776 -1.816 Pt
1.490 -1.476 -1.619 Ge
-3.769 -8.378 -2.572 Ge
```

Values from the calculation:
The excess energy over the best structure of this formula in the dataset comes out at 156 meV per atom. The value obtained for the density of states at the Fermi level is 6.27 states/eV per cell.

Record 3
Density functional theory data (PBE-GGA) for crystalline Cd2SiHgO4 at its relaxed geometry.

POSCAR file:
```
Cd2SiHgO4
1.0
5.529 0.229 0.000
-0.230 5.529 0.000
-2.649 -2.879 4.045
Cd Hg O Si
2 1 4 1
Cartesian
2.764 0.115 2.023 Cd
-0.115 2.764 2.023 Cd
0.000 0.000 0.001 Hg
3.629 1.978 0.992 O
1.670 3.781 0.992 O
-0.902 -0.980 3.054 O
0.902 0.980 3.054 O
2.649 2.879 0.000 Si
```

Values from the calculation:
The uncorrected formation energy is -1.47 eV per atom.